<a>
Computed, not measured: crystalline PaMnAu2 at its relaxed geometry at the PBE level of DFT.

The volume is 331.7 Å³ per cell. As for the crystal system: cubic.

It has space group Fm-3m (No. 225), with a = 6.922 Å, b = 6.922 Å, c = 6.922 Å, α = 90.00°, β = 90.00° and γ = 90.00°. The inequivalent atoms are Pa at (0.000, 0.000, 0.000), Mn at (0.000, 0.000, 0.500) and Au at (0.250, 0.250, 0.250).

***

<b>
Computed, not measured: crystalline PaMnAu2 at its relaxed geometry at the PBE level of DFT.

The volume is 78.5 Å³ per cell. As for the crystal system: tetragonal.

It has space group P4/mmm (No. 123), with a = 3.305 Å, b = 3.305 Å, c = 7.190 Å, α = 90.00°, β = 90.00° and γ = 90.00°. The inequivalent atoms are Pa at (0.000, 0.000, 0.000), Mn at (0.000, 0.000, 0.500) and Au at (0.500, 0.500, 0.289).

***

Stability summary: most stable <b>, least stable <a>.

***

<a>
Computed, not measured: crystalline MnPd7Au4 at its relaxed geometry at the PBE level of DFT.

The volume is 417.3 Å³ per cell. As for the crystal system: monoclinic.

It has space group C2/m (No. 12), with a = 9.746 Å, b = 4.791 Å, c = 9.622 Å, α = 90.00°, β = 111.74° and γ = 90.00°. The inequivalent atoms are Mn at (0.000, 0.000, 0.000), Pd at (0.000, 0.500, 0.000), Pd at (0.101, 0.000, 0.288), Pd at (0.129, 0.500, 0.471), Pd at (0.211, 0.000, 0.919), Au at (0.125, 0.500, 0.775) and Au at (0.140, 0.000, 0.617).

***

<b>
Computed, not measured: crystalline MnPd7Au4 at its relaxed geometry at the PBE level of DFT.

The volume is 200.8 Å³ per cell. As for the crystal system: triclinic.

It has space group P-1 (No. 2), with a = 4.887 Å, b = 5.571 Å, c = 7.637 Å, α = 75.09°, β = 89.37° and γ = 88.31°. The inequivalent atoms are Mn at (0.000, 0.000, 0.000), Pd at (0.234, 0.294, 0.408), Pd at (0.243, 0.812, 0.348), Pd at (0.248, 0.542, 0.064), Pd at (0.500, 0.000, 0.000), Au at (0.252, 0.396, 0.739) and Au at (0.261, 0.892, 0.704).

***

Stability summary: most stable <b>, least stable <a>.

***

<a>
Computed, not measured: crystalline Mn2Pd2Au5 at its relaxed geometry at the PBE level of DFT.

The volume is 308.3 Å³ per cell. As for the crystal system: orthorhombic.

It has space group Amm2 (No. 38), with a = 8.325 Å, b = 4.600 Å, c = 8.052 Å, α = 90.00°, β = 90.00° and γ = 90.00°. The inequivalent atoms are Mn at (0.000, 0.000, 0.000), Mn at (0.500, 0.000, 0.335), Pd at (0.166, 0.000, 0.664), Au at (0.170, 0.000, 0.333), Au at (0.329, 0.000, 0.999) and Au at (0.500, 0.000, 0.667).

***

<b>
Computed, not measured: crystalline Mn2Pd2Au5 at its relaxed geometry at the PBE level of DFT.

The volume is 602.2 Å³ per cell. As for the crystal system: monoclinic.

It has space group Cc (No. 9), with a = 12.835 Å, b = 8.554 Å, c = 5.643 Å, α = 90.00°, β = 103.59° and γ = 90.00°. The inequivalent atoms are Mn at (0.000, 0.160, 0.000), Mn at (0.177, 0.334, 0.807), Pd at (0.007, 0.171, 0.503), Pd at (0.339, 0.168, 0.654), Au at (0.010, 0.493, 0.973), Au at (0.165, 0.009, 0.837), Au at (0.170, 0.327, 0.307), Au at (0.340, 0.168, 0.152) and Au at (0.341, 0.497, 0.656).

***

Stability summary: most stable <b>, least stable <a>.

***

<a>
Computed, not measured: crystalline MnPd6Au2 at its relaxed geometry at the PBE level of DFT.

The volume is 285.0 Å³ per cell. As for the crystal system: monoclinic.

It has space group C2/m (No. 12), with a = 8.902 Å, b = 3.986 Å, c = 8.441 Å, α = 90.00°, β = 107.90° and γ = 90.00°. The inequivalent atoms are Mn at (0.000, 0.000, 0.000), Pd at (0.001, 0.000, 0.669), Pd at (0.165, 0.500, 0.555), Pd at (0.166, 0.500, 0.891) and Au at (0.166, 0.500, 0.221).

***

<b>
Computed, not measured: crystalline MnPd6Au2 at its relaxed geometry at the PBE level of DFT.

The volume is 143.1 Å³ per cell. As for the crystal system: triclinic.

It has space group P-1 (No. 2), with a = 4.875 Å, b = 4.884 Å, c = 7.122 Å, α = 76.61°, β = 83.24° and γ = 60.13°. The inequivalent atoms are Mn at (0.000, 0.000, 0.000), Pd at (0.001, 0.780, 0.672), Pd at (0.332, 0.333, 0.000), Pd at (0.335, 0.109, 0.673) and Au at (0.328, 0.556, 0.329).

***

Stability summary: most stable <a>, least stable <b>.